Crystalline Nd3Ge2Rh4 at its relaxed geometry. Source: the Alexandria database, functional GGA-PBE.

Output
Energy of formation = -777.2 meV per atom

Structure (POSCAR):
```
Nd3Ge2Rh4
1.0
5.396 -2.088 0.000
5.396 2.088 0.000
-3.276 0.000 8.380
Nd Ge Rh
3 2 4
Direct
0.000 0.000 0.000 Nd
0.371 0.371 0.307 Nd
0.629 0.629 0.693 Nd
0.348 0.348 0.698 Ge
0.652 0.652 0.302 Ge
0.140 0.140 0.442 Rh
0.281 0.281 0.933 Rh
0.719 0.719 0.067 Rh
0.860 0.860 0.558 Rh
```

Crystalline Rb2Cu2Br7 at its relaxed geometry. Source: the Alexandria database, functional GGA-PBE.

Output
Uncorrected energy = -2.521 eV per atom

Structure (POSCAR):
```
Rb2Cu2Br7
1.0
3.927 -5.700 0.000
3.927 5.700 0.000
0.000 0.000 7.950
Rb Cu Br
2 2 7
Direct
0.219 0.219 0.000 Rb
0.781 0.781 0.000 Rb
0.229 0.771 0.500 Cu
0.771 0.229 0.500 Cu
0.000 0.000 0.500 Br
0.000 0.500 0.288 Br
0.000 0.500 0.712 Br
0.500 0.000 0.288 Br
0.500 0.000 0.712 Br
0.500 0.500 0.287 Br
0.500 0.500 0.713 Br
```

Crystalline SiHg2Te at its relaxed geometry. Source: the Alexandria database, functional GGA-PBE.

Output
Uncorrected energy = -1.879 eV per atom

Structure (POSCAR):
```
SiHg2Te
1.0
3.266 0.000 0.000
0.000 3.266 0.000
0.000 0.000 9.299
Si Hg Te
1 2 1
Direct
0.000 0.000 0.000 Si
0.500 0.500 0.201 Hg
0.500 0.500 0.799 Hg
0.000 0.000 0.500 Te
```

Crystalline Na2CuPbCl6 at its relaxed geometry. Source: the Alexandria database, functional GGA-PBE.

Output
Uncorrected energy = -3.323 eV per atom

Structure (POSCAR):
```
Na2CuPbCl6
1.0
6.697 0.000 0.000
2.803 6.494 0.000
0.081 3.544 6.194
Na Cu Pb Cl
2 1 1 6
Direct
0.000 0.000 0.000 Na
0.456 0.031 0.507 Na
0.149 0.638 0.583 Cu
0.694 0.572 0.120 Pb
0.091 0.480 0.373 Cl
0.278 0.732 0.816 Cl
0.378 0.762 0.355 Cl
0.602 0.043 0.854 Cl
0.809 0.067 0.332 Cl
0.952 0.471 0.819 Cl
```

Crystalline LiRuRh at its relaxed geometry. Source: the Alexandria database, functional GGA-PBE.

Output
Energy of formation = 213.9 meV per atom

Structure (POSCAR):
```
LiRuRh
1.0
4.325 0.000 0.000
-2.162 3.745 0.000
0.000 0.000 5.306
Li Ru Rh
2 2 2
Direct
0.000 0.000 0.000 Li
0.000 0.000 0.500 Li
0.333 0.667 0.268 Ru
0.667 0.333 0.768 Ru
0.333 0.667 0.733 Rh
0.667 0.333 0.233 Rh
```

Crystalline LiCa2La at its relaxed geometry. Source: the Alexandria database, functional GGA-PBE.

Output
Energy of formation = 193.2 meV per atom

Structure (POSCAR):
```
LiCa2La
1.0
-2.531 2.531 5.676
2.531 -2.531 5.676
2.531 2.531 -5.676
Li Ca La
1 2 1
Direct
0.000 0.000 0.000 Li
0.250 0.750 0.500 Ca
0.750 0.250 0.500 Ca
0.500 0.500 0.000 La
```

Crystalline ZnBr at its relaxed geometry. Source: the Alexandria database, functional GGA-PBE.

Output
Uncorrected energy = -1.451 eV per atom

Structure (POSCAR):
```
ZnBr
1.0
3.560 0.000 0.000
0.000 3.560 0.000
0.000 0.000 3.560
Zn Br
1 1
Direct
0.000 0.000 0.000 Zn
0.500 0.500 0.500 Br
```

Crystalline CdBi2Ir at its relaxed geometry. Source: the Alexandria database, functional GGA-PBE.

Output
Energy of formation = 162.0 meV per atom

Structure (POSCAR):
```
CdBi2Ir
1.0
2.002 1.156 8.984
-2.002 1.156 8.984
0.000 -2.312 8.984
Cd Bi Ir
1 2 1
Direct
0.000 0.000 0.000 Cd
0.111 0.111 0.111 Bi
0.889 0.889 0.889 Bi
0.500 0.500 0.500 Ir
```